Material: Cu2AsBr2O2
Method: DFT, PBE
State: relaxed

Calculated values
final energy	-28.65	eV per cell

CIF file:
```
data_Cu2AsBr2O2
_chemical_formula_sum 'Cu2 As1 Br2 O2'
_space_group_name_H-M_alt 'P 1'
_space_group_IT_number 1
_cell_length_a 3.7017
_cell_length_b 6.5015
_cell_length_c 5.8626
_cell_angle_alpha 113.03
_cell_angle_beta 90.00
_cell_angle_gamma 106.54
loop_
_space_group_symop_operation_xyz
'x,y,z'
loop_
_atom_site_label
_atom_site_fract_x
_atom_site_fract_y
_atom_site_fract_z
Cu1 0.6710 0.3421 0.3476
Cu2 0.3290 0.6579 0.6524
As1 0.0000 0.0000 0.5000
Br1 0.6134 0.2269 0.8715
Br2 0.3866 0.7731 0.1285
O1 0.8585 0.7169 0.5821
O2 0.1415 0.2831 0.4179
```

***

Material: ThGe2
Method: DFT, PBE
State: relaxed

Calculated values
final energy	-35.15	eV per cell
energy of formation from the pure elements	-0.307	eV per atom

CIF file:
```
data_ThGe2
_chemical_formula_sum 'Th2 Ge4'
_space_group_name_H-M_alt 'P 1'
_space_group_IT_number 1
_cell_length_a 5.6913
_cell_length_b 5.6913
_cell_length_c 5.6913
_cell_angle_alpha 60.00
_cell_angle_beta 60.00
_cell_angle_gamma 60.00
loop_
_space_group_symop_operation_xyz
'x,y,z'
loop_
_atom_site_label
_atom_site_fract_x
_atom_site_fract_y
_atom_site_fract_z
Ge1 0.1250 0.6250 0.6250
Ge2 0.6250 0.1250 0.6250
Ge3 0.6250 0.6250 0.6250
Ge4 0.6250 0.6250 0.1250
Th1 0.0000 0.0000 0.0000
Th2 0.2500 0.2500 0.2500
```

***

Material: MgZr2In
Method: DFT, PBE
State: relaxed

Calculated values
final energy	-22.10	eV per cell
energy of formation from the pure elements	-0.166	eV per atom

CIF file:
```
data_MgZr2In
_chemical_formula_sum 'Mg1 Zr2 In1'
_space_group_name_H-M_alt 'P 1'
_space_group_IT_number 1
_cell_length_a 6.9720
_cell_length_b 5.4771
_cell_length_c 3.1494
_cell_angle_alpha 89.96
_cell_angle_beta 63.22
_cell_angle_gamma 120.46
loop_
_space_group_symop_operation_xyz
'x,y,z'
loop_
_atom_site_label
_atom_site_fract_x
_atom_site_fract_y
_atom_site_fract_z
Mg1 0.5000 0.5000 0.0000
Zr1 0.0000 0.0000 0.0000
Zr2 0.5000 0.0000 0.5000
In1 0.0000 0.5000 0.5000
```

***

Material: TlFe2Ir
Method: DFT, PBE
State: relaxed

Calculated values
final energy	-48.34	eV per cell
energy of formation from the pure elements	0.996	eV per atom
energy relative to the lowest polymorph listed for this composition	659	meV per atom

CIF file:
```
data_TlFe2Ir
_chemical_formula_sum 'Tl2 Fe4 Ir2'
_space_group_name_H-M_alt 'P 1'
_space_group_IT_number 1
_cell_length_a 6.9442
_cell_length_b 6.9442
_cell_length_c 5.6037
_cell_angle_alpha 51.71
_cell_angle_beta 51.71
_cell_angle_gamma 90.00
loop_
_space_group_symop_operation_xyz
'x,y,z'
loop_
_atom_site_label
_atom_site_fract_x
_atom_site_fract_y
_atom_site_fract_z
Tl1 0.0000 0.0000 0.0000
Tl2 0.7500 0.2500 0.5000
Ir1 0.5000 0.5000 0.0000
Ir2 0.2500 0.7500 0.5000
Fe1 0.5802 0.1250 0.2500
Fe2 0.1698 0.6250 0.2500
Fe3 0.3750 0.4198 0.7500
Fe4 0.8750 0.8302 0.7500
```

***

Material: TiAl3P
Method: DFT, PBE
State: relaxed

Calculated values
final energy	-18.78	eV per cell
energy of formation from the pure elements	1.151	eV per atom
energy relative to the lowest polymorph listed for this composition	570	meV per atom

CIF file:
```
data_TiAl3P
_chemical_formula_sum 'Ti1 Al3 P1'
_space_group_name_H-M_alt 'P 1'
_space_group_IT_number 1
_cell_length_a 4.9744
_cell_length_b 4.9744
_cell_length_c 4.9744
_cell_angle_alpha 90.00
_cell_angle_beta 90.00
_cell_angle_gamma 90.00
loop_
_space_group_symop_operation_xyz
'x,y,z'
loop_
_atom_site_label
_atom_site_fract_x
_atom_site_fract_y
_atom_site_fract_z
P1 0.5000 0.5000 0.5000
Al1 0.0000 0.5000 0.0000
Al2 0.0000 0.0000 0.5000
Al3 0.5000 0.0000 0.0000
Ti1 0.0000 0.0000 0.0000
```

***

Material: LaNdGe2
Method: DFT, PBE
State: relaxed

Calculated values
final energy	-21.54	eV per cell
energy of formation from the pure elements	-0.653	eV per atom
energy relative to the lowest polymorph listed for this composition	186	meV per atom

CIF file:
```
data_LaNdGe2
_chemical_formula_sum 'La1 Nd1 Ge2'
_space_group_name_H-M_alt 'P 1'
_space_group_IT_number 1
_cell_length_a 4.8556
_cell_length_b 4.8556
_cell_length_c 6.1269
_cell_angle_alpha 66.66
_cell_angle_beta 66.66
_cell_angle_gamma 60.00
loop_
_space_group_symop_operation_xyz
'x,y,z'
loop_
_atom_site_label
_atom_site_fract_x
_atom_site_fract_y
_atom_site_fract_z
Ge1 0.7536 0.7536 0.7391
Ge2 0.2464 0.2464 0.2609
Nd1 0.5000 0.5000 0.5000
La1 0.0000 0.0000 0.0000
```

***

Material: SrPm2YAs4
Method: DFT, PBE
State: relaxed

Calculated values
final energy	-47.00	eV per cell
energy of formation from the pure elements	-1.345	eV per atom

CIF file:
```
data_SrPm2YAs4
_chemical_formula_sum 'Sr1 Pm2 Y1 As4'
_space_group_name_H-M_alt 'P 1'
_space_group_IT_number 1
_cell_length_a 4.2533
_cell_length_b 7.3778
_cell_length_c 7.4135
_cell_angle_alpha 70.66
_cell_angle_beta 90.00
_cell_angle_gamma 90.00
loop_
_space_group_symop_operation_xyz
'x,y,z'
loop_
_atom_site_label
_atom_site_fract_x
_atom_site_fract_y
_atom_site_fract_z
Sr1 0.5000 0.5000 0.0000
Pm1 0.0000 0.0000 0.0000
Pm2 0.5000 0.0000 0.5000
Y1 0.0000 0.5000 0.5000
As1 0.0000 0.7583 0.7369
As2 0.0000 0.2417 0.2631
As3 0.5000 0.7500 0.2589
As4 0.5000 0.2500 0.7411
```

***

Material: TcSb4P
Method: DFT, PBE
State: relaxed

Calculated values
final energy	-25.42	eV per cell

CIF file:
```
data_TcSb4P
_chemical_formula_sum 'Tc1 Sb4 P1'
_space_group_name_H-M_alt 'P 1'
_space_group_IT_number 1
_cell_length_a 6.0638
_cell_length_b 6.0638
_cell_length_c 6.0638
_cell_angle_alpha 60.00
_cell_angle_beta 60.00
_cell_angle_gamma 60.00
loop_
_space_group_symop_operation_xyz
'x,y,z'
loop_
_atom_site_label
_atom_site_fract_x
_atom_site_fract_y
_atom_site_fract_z
Tc1 0.7500 0.7500 0.7500
Sb1 0.8755 0.3748 0.3748
Sb2 0.3748 0.3748 0.8755
Sb3 0.3748 0.8755 0.3748
Sb4 0.3748 0.3748 0.3748
P1 0.0000 0.0000 0.0000
```

***

Material: Ca2SbPt
Method: DFT, PBE
State: relaxed

Calculated values
final energy	-33.26	eV per cell

CIF file:
```
data_Ca2SbPt
_chemical_formula_sum 'Ca4 Sb2 Pt2'
_space_group_name_H-M_alt 'P 1'
_space_group_IT_number 1
_cell_length_a 8.1370
_cell_length_b 8.1370
_cell_length_c 6.6085
_cell_angle_alpha 52.00
_cell_angle_beta 52.00
_cell_angle_gamma 90.00
loop_
_space_group_symop_operation_xyz
'x,y,z'
loop_
_atom_site_label
_atom_site_fract_x
_atom_site_fract_y
_atom_site_fract_z
Sb1 0.5000 0.5000 0.0000
Sb2 0.2500 0.7500 0.5000
Ca1 0.6629 0.1250 0.2500
Ca2 0.0871 0.6250 0.2500
Ca3 0.3750 0.3371 0.7500
Ca4 0.8750 0.9129 0.7500
Pt1 0.0000 0.0000 0.0000
Pt2 0.7500 0.2500 0.5000
```

***

Material: NaSr6Br12
Method: DFT, PBE
State: relaxed

Calculated values
final energy	-68.51	eV per cell

CIF file:
```
data_NaSr6Br12
_chemical_formula_sum 'Na1 Sr6 Br12'
_space_group_name_H-M_alt 'P 1'
_space_group_IT_number 1
_cell_length_a 9.0473
_cell_length_b 9.0473
_cell_length_c 9.0473
_cell_angle_alpha 94.05
_cell_angle_beta 94.05
_cell_angle_gamma 94.05
loop_
_space_group_symop_operation_xyz
'x,y,z'
loop_
_atom_site_label
_atom_site_fract_x
_atom_site_fract_y
_atom_site_fract_z
Na1 0.0000 0.0000 0.0000
Sr1 0.0963 0.2684 0.5781
Sr2 0.7316 0.4219 0.9037
Sr3 0.4219 0.9037 0.7316
Sr4 0.9037 0.7316 0.4219
Sr5 0.2684 0.5781 0.0963
Sr6 0.5781 0.0963 0.2684
Br1 0.4173 0.1853 0.5539
Br2 0.1853 0.5539 0.4173
Br3 0.5539 0.4173 0.1853
Br4 0.5827 0.8147 0.4461
Br5 0.8147 0.4461 0.5827
Br6 0.4461 0.5827 0.8147
Br7 0.0785 0.9286 0.6829
Br8 0.3171 0.9215 0.0714
Br9 0.0714 0.3171 0.9215
Br10 0.9215 0.0714 0.3171
Br11 0.6829 0.0785 0.9286
Br12 0.9286 0.6829 0.0785
```

***

Material: Zr2CdTe
Method: DFT, PBE
State: relaxed

Calculated values
final energy	-22.35	eV per cell
energy relative to the lowest polymorph listed for this composition	19	meV per atom

CIF file:
```
data_Zr2CdTe
_chemical_formula_sum 'Zr2 Cd1 Te1'
_space_group_name_H-M_alt 'P 1'
_space_group_IT_number 1
_cell_length_a 5.1165
_cell_length_b 5.1165
_cell_length_c 3.4975
_cell_angle_alpha 90.05
_cell_angle_beta 90.05
_cell_angle_gamma 101.71
loop_
_space_group_symop_operation_xyz
'x,y,z'
loop_
_atom_site_label
_atom_site_fract_x
_atom_site_fract_y
_atom_site_fract_z
Cd1 0.5000 0.0000 0.5000
Te1 0.0000 0.5000 0.5000
Zr1 0.0000 0.0000 0.0000
Zr2 0.5000 0.5000 0.0000
```

***

Material: CeNb2B6
Method: DFT, PBE
State: relaxed

Calculated values
final energy	-71.11	eV per cell
energy of formation from the pure elements	-0.552	eV per atom

CIF file:
```
data_CeNb2B6
_chemical_formula_sum 'Ce1 Nb2 B6'
_space_group_name_H-M_alt 'P 1'
_space_group_IT_number 1
_cell_length_a 3.6429
_cell_length_b 5.4766
_cell_length_c 5.4766
_cell_angle_alpha 120.00
_cell_angle_beta 90.00
_cell_angle_gamma 90.00
loop_
_space_group_symop_operation_xyz
'x,y,z'
loop_
_atom_site_label
_atom_site_fract_x
_atom_site_fract_y
_atom_site_fract_z
Ce1 0.0000 0.0000 0.0000
Nb1 0.0000 0.3333 0.6667
Nb2 0.0000 0.6667 0.3333
B1 0.5000 0.3400 0.3400
B2 0.5000 0.6600 0.6600
B3 0.5000 0.0000 0.6600
B4 0.5000 0.6600 0.0000
B5 0.5000 0.3400 0.0000
B6 0.5000 0.0000 0.3400
```